# 1
YCr2Cu | PBE-GGA | optimized geometry

The symmetry is No. 71. The energy above the most stable polymorph in this dataset is 0.303 eV/atom. For the total magnetization, the calculation gives 7.9 Bohr magnetons per cell. The calculation puts the density of states at the Fermi level at 3.82 states/eV per cell. The total energy comes out at -0.5073 Ry per atom. For the energy of formation, the calculation gives 2.2 eV/f.u.

a b c (Å): 5.4279 5.4279 5.4279
angles (deg): 142.83 128.01 65.62
Site moments in Bohr magnetons follow the coordinates.
Atoms (fractional coordinates):
Cr  0.9696  0.9696  0.0000  3.47
Cr  0.5304  0.5304  0.0000  3.47
Cu  0.7500  0.2500  0.5000  0.13
Y  0.2500  0.7500  0.5000  0.02

# 2
YCr2Cu | PBE-GGA | optimized geometry

The symmetry is No. 160. The energy above the most stable polymorph in this dataset is 0.000 eV/atom. For the total magnetization, the calculation gives 0.1 Bohr magnetons per cell. The calculation puts the density of states at the Fermi level at 2.07 states/eV per cell. The total energy comes out at -0.5296 Ry per atom. For the energy of formation, the calculation gives 1.0 eV/f.u.

a b c (Å): 4.1524 4.1524 5.5660
angles (deg): 68.08 68.08 60.00
Site moments in Bohr magnetons follow the coordinates.
Atoms (fractional coordinates):
Cr  0.0523  0.0523  0.8431  -2.64
Cr  0.7322  0.7322  0.8032  2.64
Cu  0.4627  0.4627  0.6121  0.03
Y  0.2528  0.2528  0.2415  -0.08

# 3
YCrCu2 | PBE-GGA | optimized geometry

The symmetry is No. 122. The energy above the most stable polymorph in this dataset is 0.360 eV/atom. For the total magnetization, the calculation gives 7.4 Bohr magnetons per cell. The calculation puts the density of states at the Fermi level at 4.00 states/eV per cell. The total energy comes out at -0.4118 Ry per atom. For the energy of formation, the calculation gives 1.9 eV/f.u.

a b c (Å): 4.3108 4.3108 9.2619
angles (deg): 76.54 76.54 90.00
Site moments in Bohr magnetons follow the coordinates.
Atoms (fractional coordinates):
Y  0.0000  0.0000  0.0000  -0.07
Y  0.7500  0.2500  0.5000  -0.07
Cr  0.5000  0.5000  0.0000  3.42
Cr  0.2500  0.7500  0.5000  3.42
Cu  0.4883  0.1250  0.2500  0.08
Cu  0.2617  0.6250  0.2500  0.07
Cu  0.3750  0.5117  0.7500  0.06
Cu  0.8750  0.7383  0.7500  0.07